DFT (PBE-GGA) results for a geometry-optimized La5Fe2Cl2 structure.

Properties
total magnetic moment = 0.12 μB per atom
DOS(E_F) = 39.50 states/eV/cell
uncorrected formation energy = -507 kJ/mol of formula units

The structure in CIF format:
```
data_La5Fe2Cl2
_chemical_formula_sum 'La20 Fe8 Cl8'
_symmetry_space_group_name_H-M 'C m c e'
_symmetry_Int_Tables_number 64
_symmetry_space_group_name_Hall '-C 2ac 2'
_cell_length_a 15.250
_cell_length_b 8.688
_cell_length_c 7.151
_cell_angle_alpha 90.00
_cell_angle_beta 90.00
_cell_angle_gamma 90.00
loop_
_atom_site_label
_atom_site_type_symbol
_atom_site_fract_x
_atom_site_fract_y
_atom_site_fract_z
La1 La 0.000 0.000 0.000
La2 La 0.124 0.180 0.363
Fe1 Fe 0.000 0.100 0.619
Cl1 Cl 0.199 0.000 0.000
```



DFT (PBE-GGA) results for a geometry-optimized La2FeCl structure.

Properties
total magnetic moment = 0.06 μB per atom
DOS(E_F) = 1.85 states/eV/cell
uncorrected formation energy = -245 kJ/mol of formula units

The structure in CIF format:
```
data_La2FeCl
_chemical_formula_sum 'La2 Fe1 Cl1'
_symmetry_space_group_name_H-M 'P 4/m m m'
_symmetry_Int_Tables_number 123
_symmetry_space_group_name_Hall '-P 4 2'
_cell_length_a 3.448
_cell_length_b 3.448
_cell_length_c 8.043
_cell_angle_alpha 90.00
_cell_angle_beta 90.00
_cell_angle_gamma 90.00
loop_
_atom_site_label
_atom_site_type_symbol
_atom_site_fract_x
_atom_site_fract_y
_atom_site_fract_z
La1 La 0.000 0.000 0.211
Fe1 Fe 0.500 0.500 0.000
Cl1 Cl 0.500 0.500 0.500
```



DFT (PBE-GGA) results for a geometry-optimized LiLa2FeCl structure.

Properties
total magnetic moment = 0.26 μB per atom
DOS(E_F) = 7.37 states/eV/cell
uncorrected formation energy = 90 kJ/mol of formula units

The structure in CIF format:
```
data_LiLa2FeCl
_chemical_formula_sum 'Li1 La2 Fe1 Cl1'
_symmetry_space_group_name_H-M 'P 4/m m m'
_symmetry_Int_Tables_number 123
_symmetry_space_group_name_Hall '-P 4 2'
_cell_length_a 5.594
_cell_length_b 5.594
_cell_length_c 4.045
_cell_angle_alpha 90.00
_cell_angle_beta 90.00
_cell_angle_gamma 90.00
loop_
_atom_site_label
_atom_site_type_symbol
_atom_site_fract_x
_atom_site_fract_y
_atom_site_fract_z
Li1 Li 0.000 0.000 0.000
La1 La 0.000 0.500 0.000
Fe1 Fe 0.000 0.000 0.500
Cl1 Cl 0.500 0.500 0.500
```